[1]
A plane-wave DFT calculation with GGA-PBE was carried out for a geometry-optimized Tb2CdC structure.

Results
Its density of states at the Fermi level is 0.777 states/eV/atom. The calculation puts the total DFT energy (no corrections) at -0.3589 Ry/atom. Its space group is No. 38. The value obtained for the total magnetization is 0.00 μB/cell.

a = 8.3834 Å, b = 3.5505 Å, c = 3.5505 Å
α = 60.05°, β = 90.00°, γ = 90.00°
With the nearest neighbours (Å) after each atom.
Sites, in units of the cell vectors:
Tb 0.1732 0.0000 0.0000  3 C 2.51
Tb 0.8268 0.0000 0.0000  3 C 2.51
Cd 0.5000 0.3347 0.3347  6 Tb 3.42-3.43, 6 Cd 3.55
C 0.0000 0.6667 0.6667  6 Tb 2.51

***

[2]
A plane-wave DFT calculation with GGA-PBE was carried out for a geometry-optimized Tb4CdC structure.

Results
Its density of states at the Fermi level is 1.136 states/eV/atom. The calculation puts the total DFT energy (no corrections) at -0.3591 Ry/atom. Its space group is No. 15. The value obtained for the total magnetization is 0.00 μB/cell.

a = 8.1665 Å, b = 8.1665 Å, c = 6.1763 Å
α = 104.23°, β = 104.23°, γ = 117.07°
With the nearest neighbours (Å) after each atom.
Sites, in units of the cell vectors:
Tb 0.0657 0.6634 0.8596  1 C 2.40
Tb 0.1570 0.2560 0.6816  2 C 2.43-2.62
Tb 0.2560 0.1570 0.1816  2 C 2.43-2.62
Tb 0.3366 0.9343 0.6404  1 C 2.40
Tb 0.6634 0.0657 0.3596  1 C 2.40
Tb 0.7440 0.8430 0.8184  2 C 2.43-2.62
Tb 0.8430 0.7440 0.3184  2 C 2.43-2.62
Tb 0.9343 0.3366 0.1404  1 C 2.40
Cd 0.3863 0.6137 0.2500  8 Tb 3.10-3.34
Cd 0.6137 0.3863 0.7500  8 Tb 3.10-3.34
C 0.0720 0.9280 0.7500  6 Tb 2.40-2.62
C 0.9280 0.0720 0.2500  6 Tb 2.40-2.62

***

[3]
A plane-wave DFT calculation with GGA-PBE was carried out for a geometry-optimized Tb6CdC3 structure.

Results
Its density of states at the Fermi level is 0.787 states/eV/atom. The calculation puts the total DFT energy (no corrections) at -0.4284 Ry/atom. Its space group is No. 11. The value obtained for the total magnetization is 0.00 μB/cell.

a = 11.1696 Å, b = 3.6089 Å, c = 11.3500 Å
α = 90.00°, β = 101.81°, γ = 90.00°
With the nearest neighbours (Å) after each atom.
Sites, in units of the cell vectors:
Tb 0.0306 0.2500 0.1331  4 C 2.52-2.74
Tb 0.1119 0.7500 0.4503  4 C 2.50-2.74
Tb 0.1690 0.2500 0.7417  3 C 2.43-2.49
Tb 0.2677 0.7500 0.0160  2 C 2.45
Tb 0.3116 0.2500 0.3053  2 C 2.43
Tb 0.4280 0.2500 0.5978  3 C 2.48-2.57
Tb 0.5720 0.7500 0.4022  3 C 2.48-2.57
Tb 0.6884 0.7500 0.6947  2 C 2.43
Tb 0.7323 0.2500 0.9840  2 C 2.45
Tb 0.8310 0.7500 0.2583  3 C 2.43-2.49
Tb 0.8881 0.2500 0.5497  4 C 2.50-2.74
Tb 0.9694 0.7500 0.8669  4 C 2.52-2.74
Cd 0.4729 0.7500 0.8571  6 Tb 3.19-3.47
Cd 0.5271 0.2500 0.1429  6 Tb 3.19-3.47
C 0.0296 0.7500 0.6450  6 Tb 2.49-2.74
C 0.1240 0.2500 0.9423  6 Tb 2.43-2.59
C 0.3572 0.7500 0.4507  5 Tb 2.43-2.57
C 0.6428 0.2500 0.5493  5 Tb 2.43-2.57
C 0.8760 0.7500 0.0577  6 Tb 2.43-2.59
C 0.9704 0.2500 0.3550  6 Tb 2.49-2.74

***

[4]
A plane-wave DFT calculation with GGA-PBE was carried out for a geometry-optimized Tb4Cd2C structure.

Results
Its energy relative to the lowest polymorph listed for this composition is 0.054 eV per atom. Its density of states at the Fermi level is 0.956 states/eV/atom. The calculation puts the total DFT energy (no corrections) at -0.3210 Ry/atom. Its space group is No. 10. The value obtained for the total magnetization is 1.14 μB/cell.

a = 6.5719 Å, b = 3.5618 Å, c = 8.0533 Å
α = 90.00°, β = 103.44°, γ = 90.00°
With the nearest neighbours (Å) after each atom.
Sites, in units of the cell vectors:
Tb 0.1404 0.0000 0.3197  1 C 2.53
Tb 0.2387 0.5000 0.9739  2 C 2.41
Tb 0.7613 0.5000 0.0261  2 C 2.41
Tb 0.8596 0.0000 0.6803  1 C 2.53
Cd 0.4099 0.5000 0.6514  1 Cd 2.95, 1 Tb 3.06
Cd 0.5901 0.5000 0.3486  1 Cd 2.95, 1 Tb 3.06
C 0.0000 0.0000 0.0000  6 Tb 2.41-2.53

***

[5]
A plane-wave DFT calculation with GGA-PBE was carried out for a geometry-optimized Tb3CdC structure.

Results
Its density of states at the Fermi level is 1.457 states/eV/atom. The calculation puts the total DFT energy (no corrections) at -0.3739 Ry/atom. Its space group is No. 221. The value obtained for the total magnetization is 0.07 μB/cell.

a = 4.9577 Å, b = 4.9577 Å, c = 4.9577 Å
α = 90.00°, β = 90.00°, γ = 90.00°
With the nearest neighbours (Å) after each atom.
Sites, in units of the cell vectors:
Tb 0.0000 0.0000 0.5000  2 C 2.48
Tb 0.0000 0.5000 0.0000  2 C 2.48
Tb 0.5000 0.0000 0.0000  2 C 2.48
Cd 0.5000 0.5000 0.5000  12 Tb 3.51
C 0.0000 0.0000 0.0000  6 Tb 2.48

***

[6]
A plane-wave DFT calculation with GGA-PBE was carried out for a geometry-optimized Tb12Cd3C5 structure.

Results
Its density of states at the Fermi level is 0.575 states/eV/atom. The calculation puts the total DFT energy (no corrections) at -0.3886 Ry/atom. Its space group is No. 230. The value obtained for the total magnetization is 0.00 μB/cell.

a = 13.8256 Å, b = 13.8256 Å, c = 13.8256 Å
α = 109.47°, β = 109.47°, γ = 109.47°
With the nearest neighbours (Å) after each atom.
Sites, in units of the cell vectors:
Tb 0.0161 0.1998 0.1117  2 C 2.32-2.57
Tb 0.0161 0.3163 0.9044  2 C 2.32-2.57
Tb 0.0881 0.6998 0.6837  2 C 2.32-2.57
Tb 0.0881 0.8883 0.4044  2 C 2.32-2.57
Tb 0.0956 0.6117 0.4119  2 C 2.32-2.57
Tb 0.0956 0.9839 0.6837  2 C 2.32-2.57
Tb 0.1117 0.0161 0.1998  2 C 2.32-2.57
Tb 0.1117 0.5956 0.9119  2 C 2.32-2.57
Tb 0.1837 0.1998 0.5881  2 C 2.32-2.57
Tb 0.1837 0.4839 0.5956  2 C 2.32-2.57
Tb 0.1998 0.1117 0.0161  2 C 2.32-2.57
Tb 0.1998 0.5881 0.1837  2 C 2.32-2.57
Tb 0.3002 0.3163 0.9119  2 C 2.32-2.57
Tb 0.3002 0.4839 0.3883  2 C 2.32-2.57
Tb 0.3163 0.9044 0.0161  2 C 2.32-2.57
Tb 0.3163 0.9119 0.3002  2 C 2.32-2.57
Tb 0.3883 0.3002 0.4839  2 C 2.32-2.57
Tb 0.3883 0.5881 0.9044  2 C 2.32-2.57
Tb 0.4044 0.0881 0.8883  2 C 2.32-2.57
Tb 0.4044 0.8163 0.5161  2 C 2.32-2.57
Tb 0.4119 0.0956 0.6117  2 C 2.32-2.57
Tb 0.4119 0.8163 0.8002  2 C 2.32-2.57
Tb 0.4839 0.3883 0.3002  2 C 2.32-2.57
Tb 0.4839 0.5956 0.1837  2 C 2.32-2.57
Tb 0.5161 0.4044 0.8163  2 C 2.32-2.57
Tb 0.5161 0.6117 0.6998  2 C 2.32-2.57
Tb 0.5881 0.1837 0.1998  2 C 2.32-2.57
Tb 0.5881 0.9044 0.3883  2 C 2.32-2.57
Tb 0.5956 0.1837 0.4839  2 C 2.32-2.57
Tb 0.5956 0.9119 0.1117  2 C 2.32-2.57
Tb 0.6117 0.4119 0.0956  2 C 2.32-2.57
Tb 0.6117 0.6998 0.5161  2 C 2.32-2.57
Tb 0.6837 0.0881 0.6998  2 C 2.32-2.57
Tb 0.6837 0.0956 0.9839  2 C 2.32-2.57
Tb 0.6998 0.5161 0.6117  2 C 2.32-2.57
Tb 0.6998 0.6837 0.0881  2 C 2.32-2.57
Tb 0.8002 0.4119 0.8163  2 C 2.32-2.57
Tb 0.8002 0.8883 0.9839  2 C 2.32-2.57
Tb 0.8163 0.5161 0.4044  2 C 2.32-2.57
Tb 0.8163 0.8002 0.4119  2 C 2.32-2.57
Tb 0.8883 0.4044 0.0881  2 C 2.32-2.57
Tb 0.8883 0.9839 0.8002  2 C 2.32-2.57
Tb 0.9044 0.0161 0.3163  2 C 2.32-2.57
Tb 0.9044 0.3883 0.5881  2 C 2.32-2.57
Tb 0.9119 0.1117 0.5956  2 C 2.32-2.57
Tb 0.9119 0.3002 0.3163  2 C 2.32-2.57
Tb 0.9839 0.6837 0.0956  2 C 2.32-2.57
Tb 0.9839 0.8002 0.8883  2 C 2.32-2.57
Cd 0.1250 0.2500 0.3750  8 Tb 3.16-3.23
Cd 0.1250 0.3750 0.7500  8 Tb 3.16-3.23
Cd 0.2500 0.3750 0.1250  8 Tb 3.16-3.23
Cd 0.2500 0.8750 0.6250  8 Tb 3.16-3.23
Cd 0.3750 0.1250 0.2500  8 Tb 3.16-3.23
Cd 0.3750 0.7500 0.1250  8 Tb 3.16-3.23
Cd 0.6250 0.2500 0.8750  8 Tb 3.16-3.23
Cd 0.6250 0.8750 0.7500  8 Tb 3.16-3.23
Cd 0.7500 0.1250 0.3750  8 Tb 3.16-3.23
Cd 0.7500 0.6250 0.8750  8 Tb 3.16-3.23
Cd 0.8750 0.6250 0.2500  8 Tb 3.16-3.23
Cd 0.8750 0.7500 0.6250  8 Tb 3.16-3.23
C 0.0000 0.0000 0.0000  6 Tb 2.57
C 0.0000 0.0000 0.5000  6 Tb 2.57
C 0.0000 0.5000 0.0000  6 Tb 2.57
C 0.0000 0.5000 0.5000  6 Tb 2.57
C 0.1250 0.7500 0.8750  4 Tb 2.32
C 0.1250 0.8750 0.2500  4 Tb 2.32
C 0.2500 0.1250 0.8750  4 Tb 2.32
C 0.2500 0.6250 0.3750  4 Tb 2.32
C 0.3750 0.2500 0.6250  4 Tb 2.32
C 0.3750 0.6250 0.7500  4 Tb 2.32
C 0.5000 0.0000 0.0000  6 Tb 2.57
C 0.5000 0.0000 0.5000  6 Tb 2.57
C 0.5000 0.5000 0.0000  6 Tb 2.57
C 0.5000 0.5000 0.5000  6 Tb 2.57
C 0.6250 0.3750 0.2500  4 Tb 2.32
C 0.6250 0.7500 0.3750  4 Tb 2.32
C 0.7500 0.3750 0.6250  4 Tb 2.32
C 0.7500 0.8750 0.1250  4 Tb 2.32
C 0.8750 0.1250 0.7500  4 Tb 2.32
C 0.8750 0.2500 0.1250  4 Tb 2.32

***

[7]
A plane-wave DFT calculation with GGA-PBE was carried out for a geometry-optimized Tb2CdC structure.

Results
Its density of states at the Fermi level is 0.797 states/eV/atom. The calculation puts the total DFT energy (no corrections) at -0.3768 Ry/atom. Its space group is No. 166. The value obtained for the total magnetization is 0.98 μB/cell.

a = 8.4432 Å, b = 8.4432 Å, c = 8.4432 Å
α = 24.71°, β = 24.71°, γ = 24.71°
With the nearest neighbours (Å) after each atom.
Sites, in units of the cell vectors:
Tb 0.2221 0.2221 0.2221  3 C 2.49
Tb 0.7779 0.7779 0.7779  3 C 2.49
Cd 0.0000 0.0000 0.0000  6 Tb 3.44, 6 Cd 3.61
C 0.5000 0.5000 0.5000  6 Tb 2.49

***

[8]
A plane-wave DFT calculation with GGA-PBE was carried out for a geometry-optimized Tb2CdC structure.

Results
Its density of states at the Fermi level is 0.511 states/eV/atom. The calculation puts the total DFT energy (no corrections) at -0.3639 Ry/atom. Its space group is No. 46. The value obtained for the total magnetization is 0.00 μB/cell.

a = 6.8110 Å, b = 6.8110 Å, c = 6.8110 Å
α = 136.09°, β = 83.20°, γ = 113.45°
With the nearest neighbours (Å) after each atom.
Sites, in units of the cell vectors:
Tb 0.1067 0.2500 0.3567  3 C 2.34-2.55
Tb 0.1081 0.5590 0.0491  2 C 2.33-2.37
Tb 0.5099 0.0590 0.9509  2 C 2.33-2.37
Tb 0.8933 0.7500 0.6433  3 C 2.34-2.55
Cd 0.4800 0.3079 0.6721  2 Cd 3.00, 2 Tb 3.24-3.32
Cd 0.6358 0.8079 0.3279  2 Cd 3.00, 2 Tb 3.24-3.32
C 0.1383 0.7658 0.8725  5 Tb 2.33-2.55
C 0.8933 0.2658 0.1275  5 Tb 2.33-2.55

***

[9]
A plane-wave DFT calculation with GGA-PBE was carried out for a geometry-optimized Tb2CdTcC structure.

Results
Its density of states at the Fermi level is 0.561 states/eV/atom. The calculation puts the total DFT energy (no corrections) at -0.4596 Ry/atom. Its space group is No. 123. The value obtained for the total magnetization is 0.00 μB/cell.

a = 5.0378 Å, b = 5.0378 Å, c = 4.0051 Å
α = 90.00°, β = 90.00°, γ = 90.00°
With the nearest neighbours (Å) after each atom.
Sites, in units of the cell vectors:
Tb 0.0000 0.5000 0.0000  2 C 2.52
Tb 0.5000 0.0000 0.0000  2 C 2.52
Cd 0.0000 0.0000 0.5000  8 Tb 3.22, 4 Tc 3.56
Tc 0.5000 0.5000 0.5000  2 C 2.00
C 0.5000 0.5000 0.0000  2 Tc 2.00

***

[10]
A plane-wave DFT calculation with GGA-PBE was carried out for a geometry-optimized TbThCdC structure.

Results
Its density of states at the Fermi level is 0.957 states/eV/atom. The calculation puts the total DFT energy (no corrections) at -0.4271 Ry/atom. Its space group is No. 160. The value obtained for the total magnetization is 0.00 μB/cell.

a = 8.6953 Å, b = 8.6953 Å, c = 8.6953 Å
α = 23.97°, β = 23.97°, γ = 23.97°
With the nearest neighbours (Å) after each atom.
Sites, in units of the cell vectors:
Tb 0.0000 0.0000 0.0000  3 C 2.50
Th 0.2221 0.2221 0.2221  3 C 2.53
Cd 0.7732 0.7732 0.7732  3 Tb 3.41, 3 Th 3.59, 6 Cd 3.61
C 0.6122 0.6122 0.6122  3 Tb 2.50, 3 Th 2.53

***

[11]
A plane-wave DFT calculation with GGA-PBE was carried out for a geometry-optimized Tb2ThCdC structure.

Results
Its density of states at the Fermi level is 1.046 states/eV/atom. The calculation puts the total DFT energy (no corrections) at -0.4136 Ry/atom. Its space group is No. 123. The value obtained for the total magnetization is 0.00 μB/cell.

a = 4.9835 Å, b = 4.9835 Å, c = 5.0496 Å
α = 90.00°, β = 90.00°, γ = 90.00°
With the nearest neighbours (Å) after each atom.
Sites, in units of the cell vectors:
Tb 0.0000 0.5000 0.0000  2 C 2.49
Tb 0.5000 0.0000 0.0000  2 C 2.49
Th 0.0000 0.0000 0.5000  2 C 2.52
Cd 0.5000 0.5000 0.5000  4 Th 3.52, 8 Tb 3.55
C 0.0000 0.0000 0.0000  4 Tb 2.49, 2 Th 2.52

***

Q: What is the total DFT energy (no corrections) in the ninth record?
A: -0.4596 Ry/atom